Compound: CaTaB2
Source: the Alexandria database
Functional: PBE
Structure: optimized geometry

Geometry as POSCAR:
```
CaTaB2
1.0
-3.110 -3.559 1.435
3.068 -1.197 3.681
-3.128 1.949 6.554
B Ta Ca
4 2 2
Direct
0.375 0.251 0.750 B
0.001 0.625 0.250 B
0.875 0.999 0.750 B
0.749 0.125 0.250 B
0.750 0.250 0.500 Ta
0.000 0.000 0.000 Ta
0.250 0.750 0.500 Ca
0.500 0.500 0.000 Ca
```

## Properties
SG: No. 122
Distance to the lowest polymorph of the same formula (meV per atom): 0
Calculated formation energy (eV/f.u.): 3.16
M_tot (Bohr magnetons per cell): 0.0
Calculated total energy (eV/atom): -6.0115
V (Å³/cell): 162